! PBE-GGA NdDy4Pu3Se8, optimized geometry; values from VASP
! SG = No. 166
! Raw formation energy = -1.705 eV/atom
&SYSTEM
  ibrav = 0, nat = 16, ntyp = 4
/
ATOMIC_SPECIES
Nd 144.24 Nd.upf
Dy 162.50 Dy.upf
Pu 244.00 Pu.upf
Se 78.96 Se.upf
ATOMIC_POSITIONS crystal
Nd 0.0000 0.0000 0.0000
Dy 0.0000 0.0000 0.5000
Dy 0.0000 0.5000 0.0000
Dy 0.5000 0.0000 0.0000
Dy 0.5000 0.5000 0.5000
Pu 0.0000 0.5000 0.5000
Pu 0.5000 0.0000 0.5000
Pu 0.5000 0.5000 0.0000
Se 0.2482 0.2482 0.2482
Se 0.2504 0.7457 0.7457
Se 0.2543 0.2543 0.7496
Se 0.2543 0.7496 0.2543
Se 0.7457 0.2504 0.7457
Se 0.7457 0.7457 0.2504
Se 0.7496 0.2543 0.2543
Se 0.7518 0.7518 0.7518
CELL_PARAMETERS angstrom
4.1056 2.3704 6.7752
-4.1056 2.3704 6.7752
0.0000 -4.7408 6.7752

***

! PBE-GGA NdDyPu2Se5, optimized geometry; values from VASP
! SG = No. 123
! Raw formation energy = -1.165 eV/atom
&SYSTEM
  ibrav = 0, nat = 9, ntyp = 4
/
ATOMIC_SPECIES
Nd 144.24 Nd.upf
Dy 162.50 Dy.upf
Pu 244.00 Pu.upf
Se 78.96 Se.upf
ATOMIC_POSITIONS crystal
Nd 0.0000 0.0000 0.0000
Dy 0.0000 0.0000 0.5000
Pu 0.5000 0.5000 0.3139
Pu 0.5000 0.5000 0.6861
Se 0.0000 0.0000 0.2487
Se 0.0000 0.0000 0.7513
Se 0.0000 0.5000 0.5000
Se 0.5000 0.0000 0.5000
Se 0.5000 0.5000 0.0000
CELL_PARAMETERS angstrom
5.1389 0.0000 0.0000
0.0000 5.1389 0.0000
0.0000 0.0000 10.9906

***

! PBE-GGA NdDyPu2Se4, optimized geometry; values from VASP
! SG = No. 10
! Raw formation energy = -1.674 eV/atom
&SYSTEM
  ibrav = 0, nat = 8, ntyp = 4
/
ATOMIC_SPECIES
Nd 144.24 Nd.upf
Dy 162.50 Dy.upf
Pu 244.00 Pu.upf
Se 78.96 Se.upf
ATOMIC_POSITIONS crystal
Nd 0.0000 0.0000 0.0000
Dy 0.0000 0.5000 0.5000
Pu 0.5000 0.0000 0.5000
Pu 0.5000 0.5000 0.0000
Se 0.2485 0.0000 0.7444
Se 0.2532 0.5000 0.2577
Se 0.7468 0.5000 0.7423
Se 0.7515 0.0000 0.2556
CELL_PARAMETERS angstrom
7.1390 0.0000 0.0000
0.0000 4.1420 0.0000
-2.4172 0.0000 6.8361

***

! PBE-GGA Nd2Sm6Dy3Pu, optimized geometry; values from VASP
! SG = No. 12
! ΔH_f (0 K) = 60 kJ/mol of formula units
&SYSTEM
  ibrav = 0, nat = 12, ntyp = 4
/
ATOMIC_SPECIES
Nd 144.24 Nd.upf
Sm 150.36 Sm.upf
Dy 162.50 Dy.upf
Pu 244.00 Pu.upf
ATOMIC_POSITIONS crystal
Nd 0.1666 0.8334 0.0000
Nd 0.8334 0.1666 0.0000
Sm 0.0871 0.4164 0.7489
Sm 0.2542 0.2542 0.2512
Sm 0.4164 0.0871 0.7489
Sm 0.5836 0.9129 0.2511
Sm 0.7458 0.7458 0.7488
Sm 0.9129 0.5836 0.2511
Dy 0.0000 0.0000 0.5000
Dy 0.3335 0.6665 0.5000
Dy 0.6665 0.3335 0.5000
Pu 0.5000 0.5000 0.0000
CELL_PARAMETERS angstrom
3.1198 -5.4105 0.0000
3.1198 5.4105 0.0000
-2.0991 0.0000 11.7106

***

! PBE-GGA Nd3Sm6Dy2Pu, optimized geometry; values from VASP
! SG = No. 12
! ΔH_f (0 K) = 58 kJ/mol of formula units
&SYSTEM
  ibrav = 0, nat = 12, ntyp = 4
/
ATOMIC_SPECIES
Nd 144.24 Nd.upf
Sm 150.36 Sm.upf
Dy 162.50 Dy.upf
Pu 244.00 Pu.upf
ATOMIC_POSITIONS crystal
Nd 0.0000 0.0000 0.0000
Nd 0.3334 0.6666 0.0000
Nd 0.6666 0.3334 0.0000
Sm 0.0899 0.4190 0.2557
Sm 0.2517 0.2517 0.7443
Sm 0.4190 0.0899 0.2557
Sm 0.5810 0.9101 0.7443
Sm 0.7482 0.7482 0.2557
Sm 0.9101 0.5810 0.7443
Dy 0.1665 0.8335 0.5000
Dy 0.8335 0.1665 0.5000
Pu 0.5000 0.5000 0.5000
CELL_PARAMETERS angstrom
3.1299 -5.4242 0.0000
3.1299 5.4242 0.0000
-2.1075 0.0000 11.7435

***

! PBE-GGA NdDyPuSn, optimized geometry; values from VASP
! SG = No. 216
! ΔH_f (0 K) = -64 kJ/mol of formula units
&SYSTEM
  ibrav = 0, nat = 16, ntyp = 4
/
ATOMIC_SPECIES
Nd 144.24 Nd.upf
Dy 162.50 Dy.upf
Pu 244.00 Pu.upf
Sn 118.71 Sn.upf
ATOMIC_POSITIONS crystal
Nd 0.0000 0.0000 0.0000
Nd 0.0000 0.5000 0.5000
Nd 0.5000 0.0000 0.5000
Nd 0.5000 0.5000 0.0000
Dy 0.0000 0.0000 0.5000
Dy 0.0000 0.5000 0.0000
Dy 0.5000 0.0000 0.0000
Dy 0.5000 0.5000 0.5000
Pu 0.2500 0.2500 0.7500
Pu 0.2500 0.7500 0.2500
Pu 0.7500 0.2500 0.2500
Pu 0.7500 0.7500 0.7500
Sn 0.2500 0.2500 0.2500
Sn 0.2500 0.7500 0.7500
Sn 0.7500 0.2500 0.7500
Sn 0.7500 0.7500 0.2500
CELL_PARAMETERS angstrom
7.6872 0.0000 0.0000
0.0000 7.6872 0.0000
0.0000 0.0000 7.6872

***

! PBE-GGA Tb3Nd2Dy6Pu, optimized geometry; values from VASP
! SG = No. 12
! ΔH_f (0 K) = 54 kJ/mol of formula units
&SYSTEM
  ibrav = 0, nat = 12, ntyp = 4
/
ATOMIC_SPECIES
Tb 158.93 Tb.upf
Nd 144.24 Nd.upf
Dy 162.50 Dy.upf
Pu 244.00 Pu.upf
ATOMIC_POSITIONS crystal
Tb 0.0000 0.0000 0.0000
Tb 0.3332 0.6668 0.0000
Tb 0.6668 0.3332 0.0000
Nd 0.1665 0.8335 0.5000
Nd 0.8335 0.1665 0.5000
Dy 0.0878 0.4167 0.2497
Dy 0.2543 0.2543 0.7504
Dy 0.4167 0.0878 0.2497
Dy 0.5833 0.9122 0.7503
Dy 0.7457 0.7457 0.2496
Dy 0.9122 0.5833 0.7503
Pu 0.5000 0.5000 0.5000
CELL_PARAMETERS angstrom
3.0831 -5.3454 0.0000
3.0831 5.3454 0.0000
-2.0670 0.0000 11.5672

***

! PBE-GGA Tb2Nd3Dy6Pu, optimized geometry; values from VASP
! SG = No. 12
! ΔH_f (0 K) = 50 kJ/mol of formula units
&SYSTEM
  ibrav = 0, nat = 12, ntyp = 4
/
ATOMIC_SPECIES
Tb 158.93 Tb.upf
Nd 144.24 Nd.upf
Dy 162.50 Dy.upf
Pu 244.00 Pu.upf
ATOMIC_POSITIONS crystal
Tb 0.1666 0.8334 0.0000
Tb 0.8334 0.1666 0.0000
Nd 0.0000 0.0000 0.5000
Nd 0.3330 0.6670 0.5000
Nd 0.6670 0.3330 0.5000
Dy 0.0894 0.4183 0.7551
Dy 0.2525 0.2525 0.2450
Dy 0.4183 0.0894 0.7551
Dy 0.5817 0.9106 0.2449
Dy 0.7475 0.7475 0.7550
Dy 0.9106 0.5817 0.2449
Pu 0.5000 0.5000 0.0000
CELL_PARAMETERS angstrom
3.0936 -5.3613 0.0000
3.0936 5.3613 0.0000
-2.0681 0.0000 11.5763

***

! PBE-GGA Tb6Nd3Dy2Pu, optimized geometry; values from VASP
! SG = No. 12
! ΔH_f (0 K) = 52 kJ/mol of formula units
&SYSTEM
  ibrav = 0, nat = 12, ntyp = 4
/
ATOMIC_SPECIES
Tb 158.93 Tb.upf
Nd 144.24 Nd.upf
Dy 162.50 Dy.upf
Pu 244.00 Pu.upf
ATOMIC_POSITIONS crystal
Tb 0.0815 0.4106 0.2445
Tb 0.2477 0.2477 0.7554
Tb 0.4106 0.0815 0.2445
Tb 0.5894 0.9185 0.7555
Tb 0.7523 0.7523 0.2446
Tb 0.9185 0.5894 0.7555
Nd 0.1670 0.8330 0.5000
Nd 0.5000 0.5000 0.5000
Nd 0.8330 0.1670 0.5000
Dy 0.3335 0.6665 0.0000
Dy 0.6665 0.3335 0.0000
Pu 0.0000 0.0000 0.0000
CELL_PARAMETERS angstrom
3.0980 -5.3695 0.0000
3.0980 5.3695 0.0000
-2.0751 0.0000 11.6170

***

! PBE-GGA Nd2DyPu3Te6, optimized geometry; values from VASP
! SG = No. 12
! Raw formation energy = -1.248 eV/atom
&SYSTEM
  ibrav = 0, nat = 12, ntyp = 4
/
ATOMIC_SPECIES
Nd 144.24 Nd.upf
Dy 162.50 Dy.upf
Pu 244.00 Pu.upf
Te 127.60 Te.upf
ATOMIC_POSITIONS crystal
Nd 0.1668 0.1668 0.3368
Nd 0.8332 0.8332 0.6632
Dy 0.5000 0.5000 0.0000
Pu 0.1690 0.1690 0.8360
Pu 0.5000 0.5000 0.5000
Pu 0.8310 0.8310 0.1640
Te 0.0019 0.0019 0.7552
Te 0.3345 0.3345 0.4110
Te 0.3355 0.3355 0.9204
Te 0.6645 0.6645 0.0796
Te 0.6655 0.6655 0.5890
Te 0.9981 0.9981 0.2448
CELL_PARAMETERS angstrom
9.6726 -2.2150 0.0000
9.6726 2.2150 0.0000
-1.9941 0.0000 8.6744

***

! PBE-GGA Nd4Dy3PuTe8, optimized geometry; values from VASP
! SG = No. 166
! Raw formation energy = -1.338 eV/atom
&SYSTEM
  ibrav = 0, nat = 16, ntyp = 4
/
ATOMIC_SPECIES
Nd 144.24 Nd.upf
Dy 162.50 Dy.upf
Pu 244.00 Pu.upf
Te 127.60 Te.upf
ATOMIC_POSITIONS crystal
Nd 0.0000 0.0000 0.0000
Nd 0.0000 0.5000 0.5000
Nd 0.5000 0.0000 0.5000
Nd 0.5000 0.5000 0.0000
Dy 0.0000 0.0000 0.5000
Dy 0.0000 0.5000 0.0000
Dy 0.5000 0.0000 0.0000
Pu 0.5000 0.5000 0.5000
Te 0.2444 0.7477 0.7477
Te 0.2459 0.2459 0.2459
Te 0.2523 0.2523 0.7556
Te 0.2523 0.7556 0.2523
Te 0.7477 0.2444 0.7477
Te 0.7477 0.7477 0.2444
Te 0.7541 0.7541 0.7541
Te 0.7556 0.2523 0.2523
CELL_PARAMETERS angstrom
4.4132 2.5480 7.3178
-4.4132 2.5480 7.3178
0.0000 -5.0960 7.3178

***

! PBE-GGA NdDyPu2Te5, optimized geometry; values from VASP
! SG = No. 123
! Raw formation energy = -0.707 eV/atom
&SYSTEM
  ibrav = 0, nat = 9, ntyp = 4
/
ATOMIC_SPECIES
Nd 144.24 Nd.upf
Dy 162.50 Dy.upf
Pu 244.00 Pu.upf
Te 127.60 Te.upf
ATOMIC_POSITIONS crystal
Nd 0.0000 0.0000 0.0000
Dy 0.0000 0.0000 0.5000
Pu 0.5000 0.5000 0.3248
Pu 0.5000 0.5000 0.6752
Te 0.0000 0.0000 0.2484
Te 0.0000 0.0000 0.7516
Te 0.0000 0.5000 0.5000
Te 0.5000 0.0000 0.5000
Te 0.5000 0.5000 0.0000
CELL_PARAMETERS angstrom
5.5235 0.0000 0.0000
0.0000 5.5235 0.0000
0.0000 0.0000 11.7834

***

DOS(E_F) for every record listed, in sequence, given in states/eV/f.u.: 26.370 31.565 18.234 25.586 24.612 16.687 24.970 23.125 23.631 34.752 16.854 32.941.
Calculated density for every record listed, in sequence, given in g/cm³: 9.06 6.81 9.12 8.07 7.93 9.79 8.64 8.52 8.40 8.71 7.83 6.62.